1.
Density functional theory data (GGA-PBE) for TePdC2 after structural relaxation.

Lattice parameters (Å, degrees): 5.0138 5.0138 9.9496 90.00 90.00 90.00
With the nearest neighbours (Å) after each atom.
Space group I-42d (No. 122)
Symmetry-distinct sites (fractional):
Te  0.0000  0.0000  0.0000 (multiplicity 4)  4 C 2.24
Pd  0.0000  0.0000  0.5000 (multiplicity 4)  4 C 2.09
C  0.2248  0.2500  0.6250 (multiplicity 8)  2 Pd 2.09, 2 Te 2.24

Calculated values
Spin magnetization: 0.000 μB/atom
Density of states at the Fermi level: 0.402 states/eV/atom
Formation energy (no corrections): 1.486 eV per atom



2.
Density functional theory data (GGA-PBE) for TePd2C after structural relaxation.

Lattice parameters (Å, degrees): 5.0045 5.0045 11.9157 90.00 90.00 90.00
With the nearest neighbours (Å) after each atom.
Space group I-42d (No. 122)
Symmetry-distinct sites (fractional):
Te  0.0000  0.0000  0.0000 (multiplicity 4)  4 Pd 2.70
Pd  0.1269  0.2500  0.6250 (multiplicity 8)  2 C 2.05
C  0.0000  0.0000  0.5000 (multiplicity 4)  4 Pd 2.05

Calculated values
Energy relative to the lowest polymorph listed for this composition: 0 meV/atom
Spin magnetization: 0.000 μB/atom
Density of states at the Fermi level: 0.265 states/eV/atom
Formation energy (no corrections): 0.486 eV per atom



3.
Density functional theory data (GGA-PBE) for Th4PdC2 after structural relaxation.

Lattice parameters (Å, degrees): 3.7945 12.4148 13.4273 90.00 90.00 90.00
With the nearest neighbours (Å) after each atom.
Space group Cmcm (No. 63)
Symmetry-distinct sites (fractional):
Th  0.0000  0.0000  0.0000 (multiplicity 4)  4 C 2.69
Th  0.0000  0.2736  0.1075 (multiplicity 8)  3 C 2.56-2.61
Th  0.0000  0.4288  0.7500 (multiplicity 4)  2 C 2.62, 2 Pd 2.93
Pd  0.0000  0.1082  0.7500 (multiplicity 4)  6 Th 2.93-3.07
C  0.0000  0.3627  0.5645 (multiplicity 8)  6 Th 2.56-2.69

Calculated values
Spin magnetization: 0.000 μB/atom
Density of states at the Fermi level: 1.014 states/eV/atom
Energy of formation from the pure elements: -0.40 eV per atom



4.
Density functional theory data (GGA-PBE) for Th3PdC after structural relaxation.

Lattice parameters (Å, degrees): 7.4254 3.7958 8.9586 90.00 102.39 90.00
With the nearest neighbours (Å) after each atom.
Space group P2_1/m (No. 11)
Symmetry-distinct sites (fractional):
Th  0.0827  0.2500  0.3545 (multiplicity 2)  3 C 2.57-2.60
Th  0.2457  0.2500  0.9333 (multiplicity 2)  1 C 2.50
Th  0.3929  0.7500  0.6426 (multiplicity 2)  2 C 2.59
Pd  0.3104  0.7500  0.1897 (multiplicity 2)  6 Th 2.94-3.12
C  0.1569  0.2500  0.6481 (multiplicity 2)  6 Th 2.50-2.60

Calculated values
Energy relative to the lowest polymorph listed for this composition: 26 meV/atom
Spin magnetization: 0.000 μB/atom
Density of states at the Fermi level: 1.030 states/eV/atom
Energy of formation from the pure elements: -0.43 eV per atom



5.
Density functional theory data (GGA-PBE) for Th3PdC after structural relaxation.

Lattice parameters (Å, degrees): 3.7587 10.0954 6.5924 90.00 106.50 90.00
With the nearest neighbours (Å) after each atom.
Space group P2_1/m (No. 11)
Symmetry-distinct sites (fractional):
Th  0.0618  0.2500  0.1249 (multiplicity 2)  2 C 2.64
Th  0.3693  0.0578  0.7383 (multiplicity 4)  2 C 2.57
Pd  0.2454  0.7500  0.4914 (multiplicity 2)  6 Th 3.06-3.07
C  0.0000  0.0000  0.0000 (multiplicity 2)  6 Th 2.57-2.64

Calculated values
Energy relative to the lowest polymorph listed for this composition: 0 meV/atom
Spin magnetization: 0.000 μB/atom
Density of states at the Fermi level: 1.048 states/eV/atom
Energy of formation from the pure elements: -0.46 eV per atom



6.
Density functional theory data (GGA-PBE) for Th6Pd2C after structural relaxation.

Lattice parameters (Å, degrees): 6.4498 7.2779 11.8988 90.00 120.18 90.00
With the nearest neighbours (Å) after each atom.
Space group P2_1/c (No. 14)
Symmetry-distinct sites (fractional):
Th  0.0864  0.0377  0.2361 (multiplicity 4)  1 C 2.59
Th  0.2129  0.6919  0.0583 (multiplicity 4)  1 C 2.54
Th  0.3839  0.1793  0.0534 (multiplicity 4)  1 C 2.58
Pd  0.3416  0.1107  0.7528 (multiplicity 4)  6 Th 2.95-3.03
C  0.0000  0.0000  0.0000 (multiplicity 2)  6 Th 2.54-2.59

Calculated values
Spin magnetization: 0.000 μB/atom
Density of states at the Fermi level: 1.075 states/eV/atom
Energy of formation from the pure elements: -0.40 eV per atom



7.
Density functional theory data (GGA-PBE) for Th6PdC4 after structural relaxation.

Lattice parameters (Å, degrees): 3.8003 12.5331 19.7254 90.00 90.00 90.00
With the nearest neighbours (Å) after each atom.
Space group Cmcm (No. 63)
Symmetry-distinct sites (fractional):
Th  0.0000  0.0000  0.0000 (multiplicity 4)  6 C 2.70-2.72
Th  0.0000  0.1519  0.2500 (multiplicity 4)  2 C 2.59
Th  0.0000  0.2773  0.5791 (multiplicity 8)  5 C 2.55-2.74
Th  0.0000  0.4537  0.1524 (multiplicity 8)  3 C 2.53-2.56
Pd  0.0000  0.1680  0.7500 (multiplicity 4)  6 Th 2.95-3.11
C  0.0000  0.0838  0.1260 (multiplicity 8)  6 Th 2.56-2.74
C  0.0000  0.3580  0.0395 (multiplicity 8)  6 Th 2.53-2.72

Calculated values
Spin magnetization: 0.000 μB/atom
Density of states at the Fermi level: 0.807 states/eV/atom
Energy of formation from the pure elements: -0.39 eV per atom



8.
Density functional theory data (GGA-PBE) for Ti4Pd2C after structural relaxation.

Lattice parameters (Å, degrees): 7.0227 9.9226 3.0607 90.00 90.00 90.00
With the nearest neighbours (Å) after each atom.
Space group Pbam (No. 55)
Symmetry-distinct sites (fractional):
Ti  0.1422  0.1865  0.0000 (multiplicity 4)  1 C 2.10
Ti  0.1800  0.9347  0.5000 (multiplicity 4)  2 C 2.09
Pd  0.0510  0.6355  0.5000 (multiplicity 4)  6 Ti 2.69-2.75, 1 Pd 2.78
C  0.0000  0.0000  0.0000 (multiplicity 2)  6 Ti 2.09-2.10

Calculated values
Energy relative to the lowest polymorph listed for this composition: 0 meV/atom
Spin magnetization: 0.000 μB/atom
Density of states at the Fermi level: 1.220 states/eV/atom
Energy of formation from the pure elements: -0.49 eV per atom



density of states at the Fermi level of number 7 (Th6PdC4)? 0.807 states/eV/atom